No. 1
CaBe2Au: optimized geometry, PBE.

Summary:
The density is 6.31 Mg/m³. As for the crystal system: cubic. Its offset from the most stable computed form is 0.5064 eV/atom. The formation enthalpy at 0 K comes out at 0.921 eV/f.u. The calculation puts the size of the total moment at 0.0 μB/cell.

Lattice parameters (Å, degrees): 4.562 4.562 4.562 60.00 60.00 60.00
Element x y z (fractional)
Be 0.000 0.000 0.000
Be 0.250 0.250 0.250
Ca 0.750 0.750 0.750
Au 0.500 0.500 0.500

No. 2
Sm3Tl2Ir: optimized geometry, PBE.

Summary:
The density is 10.05 Mg/m³. As for the crystal system: orthorhombic. The formation enthalpy at 0 K comes out at -2.555 eV/f.u. The calculation puts the size of the total moment at 0.0 μB/cell.

Lattice parameters (Å, degrees): 5.482 7.613 9.559 113.45 106.66 90.00
Element x y z (fractional)
Sm 0.500 0.250 0.000
Sm 0.500 0.750 0.000
Sm 0.129 0.129 0.258
Sm 0.871 0.371 0.742
Sm 0.129 0.629 0.258
Sm 0.871 0.871 0.742
Tl 0.695 0.445 0.389
Tl 0.695 0.945 0.389
Tl 0.305 0.055 0.611
Tl 0.305 0.555 0.611
Ir 0.000 0.750 0.000
Ir 0.000 0.250 0.000

No. 3
Pm2Cd5Au: optimized geometry, PBE.

Summary:
The density is 8.07 Mg/m³. As for the crystal system: trigonal. Its offset from the most stable computed form is 0.1201 eV/atom. The formation enthalpy at 0 K comes out at -1.595 eV/f.u. The calculation puts the size of the total moment at 0.0 μB/cell.

Lattice parameters (Å, degrees): 4.756 4.756 11.357 77.91 77.91 60.00
Element x y z (fractional)
Pm 0.090 0.090 0.729
Pm 0.910 0.910 0.271
Cd 0.500 0.500 0.500
Cd 0.362 0.362 0.913
Cd 0.638 0.638 0.087
Cd 0.195 0.195 0.414
Cd 0.805 0.805 0.586
Au 0.000 0.000 0.000

No. 4
Zr8As5: optimized geometry, PBE.

Summary:
The density is 6.68 Mg/m³. As for the crystal system: monoclinic. Its offset from the most stable computed form is 0.0000 eV/atom. The formation enthalpy at 0 K comes out at -12.501 eV/f.u. The calculation puts the size of the total moment at 0.0 μB/cell.

Lattice parameters (Å, degrees): 3.737 10.213 28.767 91.42 90.00 90.00
Element x y z (fractional)
Zr 0.500 0.247 0.016
Zr 0.500 0.753 0.984
Zr 0.500 0.212 0.505
Zr 0.500 0.788 0.495
Zr 0.500 0.486 0.235
Zr 0.500 0.514 0.765
Zr 0.500 0.014 0.735
Zr 0.500 0.986 0.265
Zr 0.000 0.243 0.284
Zr 0.000 0.757 0.716
Zr 0.000 0.265 0.784
Zr 0.000 0.735 0.216
Zr 0.500 0.495 0.418
Zr 0.500 0.505 0.582
Zr 0.500 0.032 0.918
Zr 0.500 0.968 0.082
Zr 0.000 0.067 0.173
Zr 0.000 0.933 0.827
Zr 0.000 0.413 0.670
Zr 0.000 0.587 0.330
Zr 0.500 0.323 0.128
Zr 0.500 0.677 0.872
Zr 0.500 0.167 0.628
Zr 0.500 0.833 0.372
Zr 0.500 0.175 0.378
Zr 0.500 0.825 0.622
Zr 0.500 0.345 0.885
Zr 0.500 0.655 0.115
Zr 0.000 0.500 0.500
Zr 0.000 0.000 0.000
Zr 0.000 0.000 0.443
Zr 0.000 0.000 0.557
As 0.000 0.014 0.338
As 0.000 0.986 0.662
As 0.000 0.493 0.838
As 0.000 0.507 0.162
As 0.500 0.395 0.328
As 0.500 0.605 0.672
As 0.500 0.126 0.830
As 0.500 0.874 0.170
As 0.000 0.287 0.438
As 0.000 0.713 0.562
As 0.000 0.234 0.945
As 0.000 0.766 0.055
As 0.500 0.224 0.215
As 0.500 0.776 0.785
As 0.500 0.271 0.716
As 0.500 0.729 0.284
As 0.000 0.167 0.082
As 0.000 0.833 0.918
As 0.000 0.300 0.574
As 0.000 0.700 0.426

No. 5
CdSi3Te: optimized geometry, PBE.

Summary:
The density is 4.17 Mg/m³. As for the crystal system: cubic. The raw formation energy comes out at 1135 meV/atom. Its offset from the most stable computed form is 0.0000 eV/atom. The calculation puts the size of the total moment at 0.0 μB/cell.

Lattice parameters (Å, degrees): 5.053 5.053 5.053 90.00 90.00 90.00
Element x y z (fractional)
Si 0.000 0.500 0.000
Si 0.000 0.000 0.500
Si 0.500 0.000 0.000
Te 0.500 0.500 0.500
Cd 0.000 0.000 0.000

No. 6
Tl16Cd6Hg7: optimized geometry, PBE.

Summary:
The density is 10.07 Mg/m³. As for the crystal system: cubic. The formation enthalpy at 0 K comes out at 2.095 eV/f.u. The calculation puts the size of the total moment at 0.0 μB/cell.

Lattice parameters (Å, degrees): 10.766 10.766 10.766 60.00 60.00 60.00
Element x y z (fractional)
Tl 0.455 0.848 0.848
Tl 0.848 0.455 0.848
Tl 0.848 0.848 0.848
Tl 0.848 0.848 0.455
Tl 0.152 0.545 0.152
Tl 0.545 0.152 0.152
Tl 0.152 0.152 0.152
Tl 0.152 0.152 0.545
Tl 0.142 0.619 0.619
Tl 0.619 0.142 0.619
Tl 0.619 0.619 0.619
Tl 0.619 0.619 0.142
Tl 0.381 0.858 0.381
Tl 0.858 0.381 0.381
Tl 0.381 0.381 0.381
Tl 0.381 0.381 0.858
Cd 0.160 0.840 0.160
Cd 0.840 0.160 0.840
Cd 0.160 0.840 0.840
Cd 0.840 0.160 0.160
Cd 0.160 0.160 0.840
Cd 0.840 0.840 0.160
Hg 0.500 0.500 0.500
Hg 0.500 0.000 0.500
Hg 0.000 0.500 0.000
Hg 0.500 0.000 0.000
Hg 0.000 0.500 0.500
Hg 0.500 0.500 0.000
Hg 0.000 0.000 0.500

No. 7
NdSm3Bi: optimized geometry, PBE.

Summary:
The density is 8.13 Mg/m³. As for the crystal system: monoclinic. The formation enthalpy at 0 K comes out at -1.455 eV/f.u. The calculation puts the size of the total moment at 0.0 μB/cell.

Lattice parameters (Å, degrees): 5.118 6.952 9.581 89.81 105.49 90.00
Element x y z (fractional)
Nd 0.600 0.498 0.200
Nd 0.400 0.502 0.800
Sm 0.005 0.752 0.010
Sm 0.995 0.248 0.990
Sm 0.400 0.998 0.801
Sm 0.600 0.002 0.199
Sm 0.205 0.749 0.411
Sm 0.795 0.251 0.589
Bi 0.811 0.753 0.622
Bi 0.189 0.247 0.378

No. 8
Li2GePd: optimized geometry, PBE.

Summary:
The density is 5.05 Mg/m³. As for the crystal system: trigonal. The formation enthalpy at 0 K comes out at -0.571 eV/f.u. The calculation puts the size of the total moment at 0.0 μB/cell.

Lattice parameters (Å, degrees): 2.821 2.821 9.345 81.32 81.32 60.00
Element x y z (fractional)
Ge 0.500 0.500 0.500
Pd 0.000 0.000 0.000
Li 0.087 0.087 0.739
Li 0.913 0.913 0.261

No. 9
Re2TcSe: optimized geometry, PBE.

Summary:
The density is 15.35 Mg/m³. As for the crystal system: orthorhombic. The raw formation energy comes out at 372 meV/atom. The calculation puts the size of the total moment at 0.0 μB/cell.

Lattice parameters (Å, degrees): 5.227 5.227 5.227 147.05 129.42 61.70
Element x y z (fractional)
Re 0.999 0.999 0.000
Re 0.729 0.229 0.500
Se 0.499 0.499 0.000
Tc 0.273 0.773 0.500

No. 10
KTeI2O: optimized geometry, PBE.

Summary:
The density is 5.14 Mg/m³. As for the crystal system: tetragonal. The raw formation energy comes out at -283 meV/atom. Its offset from the most stable computed form is 0.4634 eV/atom. The calculation puts the size of the total moment at 0.0 μB/cell.

Lattice parameters (Å, degrees): 5.503 5.503 4.654 90.00 90.00 90.00
Element x y z (fractional)
I 0.000 0.500 0.000
I 0.500 0.000 0.000
K 0.500 0.500 0.500
Te 0.000 0.000 0.500
O 0.000 0.000 0.000

No. 11
AlSiSe: optimized geometry, PBE.

Summary:
The density is 2.89 Mg/m³. As for the crystal system: triclinic. The raw formation energy comes out at -216 meV/atom. The calculation puts the size of the total moment at 0.0 μB/cell.

Lattice parameters (Å, degrees): 4.300 5.655 7.457 68.00 74.52 68.04
Element x y z (fractional)
Si 0.973 0.896 0.701
Si 0.082 0.175 0.371
Al 0.579 0.657 0.708
Al 0.701 0.071 0.238
Se 0.676 0.603 0.377
Se 0.896 0.191 0.881

No. 12
LaHo2Cd2Hg2: optimized geometry, PBE.

Summary:
The density is 9.45 Mg/m³. As for the crystal system: trigonal. The formation enthalpy at 0 K comes out at -1.905 eV/f.u. The calculation puts the size of the total moment at 0.0 μB/cell.

Lattice parameters (Å, degrees): 4.976 4.976 9.422 74.69 74.69 60.00
Element x y z (fractional)
La 0.000 0.000 0.000
Ho 0.127 0.127 0.619
Ho 0.873 0.873 0.381
Cd 0.747 0.747 0.758
Cd 0.253 0.253 0.242
Hg 0.593 0.593 0.220
Hg 0.407 0.407 0.780